Density functional theory data (PBE) for a relaxed La2SbAs2 crystal.

Structure (CIF):
```
data_La2SbAs2
_space_group_name_H-M_alt 'P 1'
_space_group_IT_number 1
_cell_length_a 8.383
_cell_length_b 8.383
_cell_length_c 4.017
_cell_angle_alpha 90.00
_cell_angle_beta 90.00
_cell_angle_gamma 90.00
loop_
_space_group_symop_operation_xyz
'x,y,z'
loop_
_atom_site_label
_atom_site_fract_x
_atom_site_fract_y
_atom_site_fract_z
La1 0.150 0.350 0.000
La2 0.350 0.850 0.000
La3 0.650 0.150 0.000
La4 0.850 0.650 0.000
Sb1 0.000 0.000 0.000
Sb2 0.500 0.500 0.000
As1 0.160 0.660 0.500
As2 0.340 0.160 0.500
As3 0.660 0.840 0.500
As4 0.840 0.340 0.500
```

The calculation puts the excess energy over the best structure of this formula in the dataset at 0.163 eV/atom. The value obtained for the spin magnetization is 0.0 μB/cell. The raw total energy comes out at -55.8 eV per cell.

Density functional theory data (PBE) for a relaxed K2RhS4 crystal.

Structure (CIF):
```
data_K2RhS4
_space_group_name_H-M_alt 'P 1'
_space_group_IT_number 1
_cell_length_a 8.584
_cell_length_b 8.584
_cell_length_c 8.584
_cell_angle_alpha 147.24
_cell_angle_beta 147.24
_cell_angle_gamma 47.01
loop_
_space_group_symop_operation_xyz
'x,y,z'
loop_
_atom_site_label
_atom_site_fract_x
_atom_site_fract_y
_atom_site_fract_z
K1 0.145 0.145 0.000
K2 0.855 0.855 0.000
Rh1 0.500 0.500 0.000
S1 0.000 0.500 0.500
S2 0.352 0.352 0.000
S3 0.500 0.000 0.500
S4 0.648 0.648 0.000
```

The value obtained for the spin magnetization is 3.7 μB/cell. The raw total energy comes out at -28.1 eV per cell.

Density functional theory data (PBE) for a relaxed CdTe2Pd2 crystal.

Structure (CIF):
```
data_CdTe2Pd2
_space_group_name_H-M_alt 'P 1'
_space_group_IT_number 1
_cell_length_a 7.446
_cell_length_b 7.446
_cell_length_c 3.874
_cell_angle_alpha 90.00
_cell_angle_beta 90.00
_cell_angle_gamma 90.00
loop_
_space_group_symop_operation_xyz
'x,y,z'
loop_
_atom_site_label
_atom_site_fract_x
_atom_site_fract_y
_atom_site_fract_z
Cd1 0.000 0.000 0.000
Cd2 0.500 0.500 0.000
Te1 0.168 0.332 0.500
Te2 0.332 0.832 0.500
Te3 0.668 0.168 0.500
Te4 0.832 0.668 0.500
Pd1 0.136 0.636 0.000
Pd2 0.364 0.136 0.000
Pd3 0.636 0.864 0.000
Pd4 0.864 0.364 0.000
```

The calculation puts the excess energy over the best structure of this formula in the dataset at 0.000 eV/atom. The value obtained for the spin magnetization is 0.0 μB/cell. The raw total energy comes out at -36.9 eV per cell.

Density functional theory data (PBE) for a relaxed K4CaIn crystal.

Structure (CIF):
```
data_K4CaIn
_space_group_name_H-M_alt 'P 1'
_space_group_IT_number 1
_cell_length_a 7.573
_cell_length_b 7.573
_cell_length_c 7.573
_cell_angle_alpha 60.00
_cell_angle_beta 60.00
_cell_angle_gamma 60.00
loop_
_space_group_symop_operation_xyz
'x,y,z'
loop_
_atom_site_label
_atom_site_fract_x
_atom_site_fract_y
_atom_site_fract_z
K1 0.124 0.124 0.124
K2 0.124 0.124 0.628
K3 0.124 0.628 0.124
K4 0.628 0.124 0.124
Ca1 0.500 0.500 0.500
In1 0.750 0.750 0.750
```

The energy relative to the elements is 265 meV/atom. The value obtained for the spin magnetization is 0.0 μB/cell. The raw total energy comes out at -7.5 eV per cell.

Density functional theory data (PBE) for a relaxed PaPdRuPt crystal.

Structure (CIF):
```
data_PaPdRuPt
_space_group_name_H-M_alt 'P 1'
_space_group_IT_number 1
_cell_length_a 4.007
_cell_length_b 4.013
_cell_length_c 4.315
_cell_angle_alpha 90.00
_cell_angle_beta 90.00
_cell_angle_gamma 90.00
loop_
_space_group_symop_operation_xyz
'x,y,z'
loop_
_atom_site_label
_atom_site_fract_x
_atom_site_fract_y
_atom_site_fract_z
Pa1 0.000 0.000 0.000
Pd1 0.000 0.500 0.500
Ru1 0.500 0.500 0.000
Pt1 0.500 0.000 0.500
```

The energy relative to the elements is -819 meV/atom. The value obtained for the spin magnetization is 0.0 μB/cell. The raw total energy comes out at -33.3 eV per cell.

Density functional theory data (PBE) for a relaxed Rb2Cu2F7 crystal.

Structure (CIF):
```
data_Rb2Cu2F7
_space_group_name_H-M_alt 'P 1'
_space_group_IT_number 1
_cell_length_a 7.377
_cell_length_b 7.377
_cell_length_c 3.935
_cell_angle_alpha 97.56
_cell_angle_beta 97.56
_cell_angle_gamma 121.88
loop_
_space_group_symop_operation_xyz
'x,y,z'
loop_
_atom_site_label
_atom_site_fract_x
_atom_site_fract_y
_atom_site_fract_z
Rb1 0.185 0.815 0.000
Rb2 0.815 0.185 0.000
Cu1 0.302 0.302 0.650
Cu2 0.698 0.698 0.350
F1 0.000 0.000 0.500
F2 0.157 0.441 0.648
F3 0.334 0.334 0.166
F4 0.441 0.157 0.648
F5 0.559 0.843 0.352
F6 0.666 0.666 0.834
F7 0.843 0.559 0.352
```

The calculation puts the excess energy over the best structure of this formula in the dataset at 0.000 eV/atom. The value obtained for the spin magnetization is 0.8 μB/cell. The raw total energy comes out at -45.0 eV per cell.

Density functional theory data (PBE) for a relaxed SrAcNiPt crystal.

Structure (CIF):
```
data_SrAcNiPt
_space_group_name_H-M_alt 'P 1'
_space_group_IT_number 1
_cell_length_a 5.227
_cell_length_b 5.227
_cell_length_c 5.227
_cell_angle_alpha 60.00
_cell_angle_beta 60.00
_cell_angle_gamma 60.00
loop_
_space_group_symop_operation_xyz
'x,y,z'
loop_
_atom_site_label
_atom_site_fract_x
_atom_site_fract_y
_atom_site_fract_z
Sr1 0.000 0.000 0.000
Ac1 0.500 0.500 0.500
Ni1 0.750 0.750 0.750
Pt1 0.250 0.250 0.250
```

The calculation puts the excess energy over the best structure of this formula in the dataset at 0.087 eV/atom. The energy relative to the elements is -470 meV/atom. The value obtained for the spin magnetization is 0.0 μB/cell. The raw total energy comes out at -19.5 eV per cell.

Density functional theory data (PBE) for a relaxed TlAgAs2 crystal.

Structure (CIF):
```
data_TlAgAs2
_space_group_name_H-M_alt 'P 1'
_space_group_IT_number 1
_cell_length_a 3.019
_cell_length_b 3.019
_cell_length_c 9.834
_cell_angle_alpha 90.00
_cell_angle_beta 90.00
_cell_angle_gamma 90.19
loop_
_space_group_symop_operation_xyz
'x,y,z'
loop_
_atom_site_label
_atom_site_fract_x
_atom_site_fract_y
_atom_site_fract_z
Tl1 0.000 0.000 0.000
Ag1 0.000 0.000 0.500
As1 0.500 0.500 0.294
As2 0.500 0.500 0.706
```

The calculation puts the excess energy over the best structure of this formula in the dataset at 0.108 eV/atom. The energy relative to the elements is 235 meV/atom. The value obtained for the spin magnetization is 0.0 μB/cell. The raw total energy comes out at -13.6 eV per cell.

Density functional theory data (PBE) for a relaxed InSn2Pb2 crystal.

Structure (CIF):
```
data_InSn2Pb2
_space_group_name_H-M_alt 'P 1'
_space_group_IT_number 1
_cell_length_a 8.097
_cell_length_b 8.097
_cell_length_c 4.702
_cell_angle_alpha 90.00
_cell_angle_beta 90.00
_cell_angle_gamma 90.00
loop_
_space_group_symop_operation_xyz
'x,y,z'
loop_
_atom_site_label
_atom_site_fract_x
_atom_site_fract_y
_atom_site_fract_z
In1 0.000 0.000 0.000
In2 0.500 0.500 0.000
Sn1 0.132 0.368 0.000
Sn2 0.368 0.868 0.000
Sn3 0.632 0.132 0.000
Sn4 0.868 0.632 0.000
Pb1 0.174 0.674 0.500
Pb2 0.326 0.174 0.500
Pb3 0.674 0.826 0.500
Pb4 0.826 0.326 0.500
```

The calculation puts the excess energy over the best structure of this formula in the dataset at 0.050 eV/atom. The energy relative to the elements is 90 meV/atom. The value obtained for the spin magnetization is 0.0 μB/cell. The raw total energy comes out at -35.4 eV per cell.

Density functional theory data (PBE) for a relaxed YAl3Zn crystal.

Structure (CIF):
```
data_YAl3Zn
_space_group_name_H-M_alt 'P 1'
_space_group_IT_number 1
_cell_length_a 5.672
_cell_length_b 5.672
_cell_length_c 5.672
_cell_angle_alpha 90.00
_cell_angle_beta 90.00
_cell_angle_gamma 90.00
loop_
_space_group_symop_operation_xyz
'x,y,z'
loop_
_atom_site_label
_atom_site_fract_x
_atom_site_fract_y
_atom_site_fract_z
Y1 0.000 0.000 0.000
Al1 0.000 0.000 0.500
Al2 0.000 0.500 0.000
Al3 0.500 0.000 0.000
Zn1 0.500 0.500 0.500
```

The energy relative to the elements is 1208 meV/atom. The value obtained for the spin magnetization is 0.0 μB/cell. The raw total energy comes out at -12.9 eV per cell.

Density functional theory data (PBE) for a relaxed BeP2Pb crystal.

Structure (CIF):
```
data_BeP2Pb
_space_group_name_H-M_alt 'P 1'
_space_group_IT_number 1
_cell_length_a 4.589
_cell_length_b 4.589
_cell_length_c 3.768
_cell_angle_alpha 90.00
_cell_angle_beta 90.00
_cell_angle_gamma 108.73
loop_
_space_group_symop_operation_xyz
'x,y,z'
loop_
_atom_site_label
_atom_site_fract_x
_atom_site_fract_y
_atom_site_fract_z
Be1 0.000 0.000 0.000
P1 0.000 0.500 0.500
P2 0.500 0.000 0.500
Pb1 0.500 0.500 0.000
```

The energy relative to the elements is 774 meV/atom. The value obtained for the spin magnetization is 0.0 μB/cell. The raw total energy comes out at -15.2 eV per cell.

Density functional theory data (PBE) for a relaxed BeSbS crystal.

Structure (CIF):
```
data_BeSbS
_space_group_name_H-M_alt 'P 1'
_space_group_IT_number 1
_cell_length_a 3.446
_cell_length_b 3.446
_cell_length_c 13.928
_cell_angle_alpha 99.78
_cell_angle_beta 99.78
_cell_angle_gamma 61.61
loop_
_space_group_symop_operation_xyz
'x,y,z'
loop_
_atom_site_label
_atom_site_fract_x
_atom_site_fract_y
_atom_site_fract_z
Be1 0.000 0.000 0.000
Be2 0.612 0.612 0.884
Sb1 0.044 0.044 0.526
Sb2 0.566 0.566 0.355
S1 0.684 0.684 0.045
S2 0.927 0.927 0.839
```

The value obtained for the spin magnetization is 0.0 μB/cell. The raw total energy comes out at -27.1 eV per cell.